(1)
DFT (PBE) results for BaSiF after structural relaxation.

a = 10.048 Å, b = 10.048 Å, c = 10.048 Å
α = 159.06°, β = 154.22°, γ = 33.45°
Atoms (fractional coordinates):
Ba: 0.160 0.160 0.000
Ba: 0.840 0.840 0.000
Si: 0.250 0.000 0.250
Si: 0.750 0.000 0.750
F: 0.302 0.302 0.000
F: 0.698 0.698 0.000

=====

(2)
DFT (PBE) results for BaSiF after structural relaxation.

a = 4.219 Å, b = 4.219 Å, c = 9.520 Å
α = 102.84°, β = 102.84°, γ = 60.14°
Atoms (fractional coordinates):
Ba: 0.098 0.098 0.293
Ba: 0.902 0.902 0.707
Si: 0.348 0.348 0.043
Si: 0.652 0.652 0.957
F: 0.198 0.198 0.593
F: 0.802 0.802 0.407

=====

(3)
DFT (PBE) results for BaSiF3 after structural relaxation.

a = 4.516 Å, b = 4.516 Å, c = 4.516 Å
α = 90.00°, β = 90.00°, γ = 90.00°
Atoms (fractional coordinates):
Ba: 0.000 0.000 0.000
Si: 0.500 0.500 0.500
F: 0.000 0.500 0.500
F: 0.500 0.000 0.500
F: 0.500 0.500 0.000

=====

(4)
DFT (PBE) results for BaSiF2 after structural relaxation.

a = 6.174 Å, b = 6.174 Å, c = 6.174 Å
α = 42.36°, β = 42.36°, γ = 42.36°
Atoms (fractional coordinates):
Ba: 0.000 0.000 0.000
Si: 0.500 0.500 0.500
F: 0.376 0.376 0.376
F: 0.624 0.624 0.624

=====

(5)
DFT (PBE) results for BaSiF2 after structural relaxation.

a = 5.259 Å, b = 5.259 Å, c = 5.259 Å
α = 48.57°, β = 48.57°, γ = 48.57°
Atoms (fractional coordinates):
Ba: 0.000 0.000 0.000
Si: 0.500 0.500 0.500
F: 0.199 0.199 0.199
F: 0.801 0.801 0.801

=====

(6)
DFT (PBE) results for Ba2SiF after structural relaxation.

a = 5.535 Å, b = 5.535 Å, c = 5.535 Å
α = 60.00°, β = 60.00°, γ = 60.00°
Atoms (fractional coordinates):
Ba: 0.250 0.250 0.250
Ba: 0.750 0.750 0.750
Si: 0.000 0.000 0.000
F: 0.500 0.500 0.500

=====

(7)
DFT (PBE) results for Ba2SiF2 after structural relaxation.

a = 8.222 Å, b = 8.222 Å, c = 8.222 Å
α = 150.59°, β = 150.59°, γ = 42.07°
Atoms (fractional coordinates):
Ba: 0.144 0.144 0.000
Ba: 0.856 0.856 0.000
Si: 0.500 0.500 0.000
F: 0.250 0.750 0.500
F: 0.750 0.250 0.500

=====

(8)
DFT (PBE) results for Ba2SiF after structural relaxation.

a = 8.320 Å, b = 8.320 Å, c = 8.320 Å
α = 132.65°, β = 132.65°, γ = 69.20°
Atoms (fractional coordinates):
Ba: 0.064 0.625 0.939
Ba: 0.375 0.314 0.439
Ba: 0.686 0.125 0.061
Ba: 0.875 0.936 0.561
Si: 0.250 0.750 0.500
Si: 0.500 0.500 0.000
F: 0.000 0.000 0.000
F: 0.750 0.250 0.500

=====

(9)
DFT (PBE) results for BaSiF2 after structural relaxation.

a = 4.821 Å, b = 4.821 Å, c = 4.821 Å
α = 60.00°, β = 60.00°, γ = 60.00°
Atoms (fractional coordinates):
Ba: 0.000 0.000 0.000
Si: 0.500 0.500 0.500
F: 0.250 0.250 0.250
F: 0.750 0.750 0.750

=====

(10)
DFT (PBE) results for Ba3SiF after structural relaxation.

a = 5.424 Å, b = 5.424 Å, c = 5.424 Å
α = 90.00°, β = 90.00°, γ = 90.00°
Atoms (fractional coordinates):
Ba: 0.000 0.000 0.500
Ba: 0.000 0.500 0.000
Ba: 0.500 0.000 0.000
Si: 0.500 0.500 0.500
F: 0.000 0.000 0.000

=====

Total energy (eV/atom)
-4.58; -5.11; -4.71; -4.84; -4.57; -3.96; -4.84; -4.08; -4.36; -3.71